Entry 1:
Compound: GaNiAu2
Source: Alexandria
Functional: PBE
Structure: relaxed

## Properties
**DFT formation energy**: 0.089 eV per atom
**Crystal system**: tetragonal
**Total DFT energy (no corrections)**: -60.0 eV per cell
**M_tot**: 0.00 μB/atom

Cell: 3.8702 3.8702 17.9767 Å, 90.00 90.00 90.00°
Last column: nearest neighbours and their distance in Å.
Fractional coordinates of all 16 atoms:
Ga  0.0000  0.0000  0.0000  4 Au 2.64, 4 Ni 2.74
Ga  0.0000  0.5000  0.2500  4 Au 2.64, 4 Ni 2.74
Ga  0.5000  0.0000  0.7500  4 Au 2.64, 4 Ni 2.74
Ga  0.5000  0.5000  0.5000  4 Au 2.64, 4 Ni 2.74
Ni  0.0000  0.0000  0.5000  4 Au 2.63, 4 Ga 2.74
Ni  0.0000  0.5000  0.7500  4 Au 2.63, 4 Ga 2.74
Ni  0.5000  0.0000  0.2500  4 Au 2.63, 4 Ga 2.74
Ni  0.5000  0.5000  0.0000  4 Au 2.63, 4 Ga 2.74
Au  0.2471  0.2500  0.6250  2 Ni 2.63, 2 Ga 2.64, 4 Au 2.72-2.75
Au  0.2500  0.7471  0.8750  2 Ni 2.63, 2 Ga 2.64, 4 Au 2.72-2.75
Au  0.2500  0.7529  0.3750  2 Ni 2.63, 2 Ga 2.64, 4 Au 2.72-2.75
Au  0.2529  0.2500  0.1250  2 Ni 2.63, 2 Ga 2.64, 4 Au 2.72-2.75
Au  0.7471  0.7500  0.1250  2 Ni 2.63, 2 Ga 2.64, 4 Au 2.72-2.75
Au  0.7500  0.2471  0.3750  2 Ni 2.63, 2 Ga 2.64, 4 Au 2.72-2.75
Au  0.7500  0.2529  0.8750  2 Ni 2.63, 2 Ga 2.64, 4 Au 2.72-2.75
Au  0.7529  0.7500  0.6250  2 Ni 2.63, 2 Ga 2.64, 4 Au 2.72-2.75

Entry 2:
Compound: Tb2Nd4Ho5
Source: Alexandria
Functional: PBE
Structure: relaxed

## Properties
**DFT formation energy**: 0.106 eV per atom
**Crystal system**: monoclinic
**Total DFT energy (no corrections)**: -50.1 eV per cell
**M_tot**: 0.00 μB/atom

Cell: 10.0073 10.0073 6.6443 Å, 90.87 90.87 32.92°
Last column: nearest neighbours and their distance in Å.
Fractional coordinates of all 11 atoms:
Tb  0.0981  0.0981  0.0543  6 Ho 3.53-3.71, 6 Nd 3.65-3.90, 1 Tb 3.82
Tb  0.9019  0.9019  0.9457  6 Ho 3.53-3.71, 6 Nd 3.65-3.90, 1 Tb 3.82
Nd  0.1946  0.1946  0.5745  6 Ho 3.32-3.69, 2 Nd 3.69, 1 Tb 3.71
Nd  0.4795  0.4795  0.2134  1 Nd 2.95, 1 Ho 3.11
Nd  0.5205  0.5205  0.7866  1 Nd 2.95, 1 Ho 3.11
Nd  0.8054  0.8054  0.4255  6 Ho 3.32-3.69, 2 Nd 3.69, 1 Tb 3.71
Ho  0.0000  0.0000  0.5000  6 Nd 3.43-3.76, 2 Tb 3.53
Ho  0.2911  0.2911  0.0984  4 Ho 3.49-3.69, 4 Nd 3.58-3.69, 3 Tb 3.70-3.71
Ho  0.3697  0.3697  0.6093  5 Nd 3.11-3.40
Ho  0.6303  0.6303  0.3907  5 Nd 3.11-3.40
Ho  0.7089  0.7089  0.9016  4 Ho 3.49-3.69, 4 Nd 3.58-3.69, 3 Tb 3.70-3.71